V2IO | GGA+U | relaxed

Cell lengths 5.9047, 5.9047, 10.2987 Å; angles 90.00, 90.00, 90.00 degrees
Space group I-42d (No. 122)
Asymmetric unit:
V 0.1079 0.2500 0.1250 x8
I 0.0000 0.0000 0.5000 x4
O 0.0000 0.0000 0.0000 x4

Values from the calculation:
Calculated total energy: -5.73 eV/atom
Energy above the most stable polymorph in this dataset: 0.0 meV/atom
Spin magnetization: 27.98 μB/cell